1.
Compound: Sm3Bi4Au3
Source: OQMD via LeMat-Bulk
Functional: PBE
Structure: optimized geometry

Calculated values
total magnetization	0.0	μB/cell
symmetry	No. 220

abc: 8.859 8.859 8.859
angles: 109.47 109.47 109.47
Fractional coordinates of all 20 atoms:
Au 0.875 0.250 0.125
Au 0.125 0.875 0.250
Au 0.625 0.750 0.375
Au 0.750 0.375 0.625
Au 0.375 0.625 0.750
Au 0.250 0.125 0.875
Bi 0.318 0.500 0.000
Bi 0.818 0.500 0.000
Bi 0.182 0.182 0.182
Bi 0.500 0.000 0.318
Bi 0.000 0.318 0.500
Bi 0.000 0.818 0.500
Bi 0.682 0.682 0.682
Bi 0.500 0.000 0.818
Sm 0.750 0.875 0.125
Sm 0.625 0.375 0.250
Sm 0.250 0.625 0.375
Sm 0.375 0.250 0.625
Sm 0.875 0.125 0.750
Sm 0.125 0.750 0.875

2.
Compound: TaZnIn2
Source: OQMD via LeMat-Bulk
Functional: PBE
Structure: optimized geometry

Calculated values
total magnetization	1.1	μB/cell
symmetry	No. 216

abc: 4.868 4.868 4.868
angles: 60.00 60.00 60.00
Site moments in Bohr magnetons follow the coordinates.
Fractional coordinates of all 4 atoms:
In 0.000 0.000 0.000  -0.01
In 0.750 0.750 0.750  0.01
Ta 0.500 0.500 0.500  0.80
Zn 0.250 0.250 0.250  0.00

3.
Compound: TbNdNO
Source: OQMD via LeMat-Bulk
Functional: PBE
Structure: optimized geometry

Calculated values
polymorph energy (0 for the lowest one)	0.0193	eV/atom
total magnetization	0.0	μB/cell
symmetry	No. 57

abc: 6.784 8.236 5.058
angles: 90.00 90.00 90.00
Fractional coordinates of all 16 atoms:
N 0.922 0.118 0.051
N 0.422 0.882 0.051
N 0.578 0.118 0.551
N 0.078 0.882 0.551
Nd 0.069 0.375 0.051
Nd 0.569 0.625 0.051
Nd 0.431 0.375 0.551
Nd 0.931 0.625 0.551
O 0.413 0.359 0.051
O 0.913 0.641 0.051
O 0.087 0.359 0.551
O 0.587 0.641 0.551
Tb 0.584 0.123 0.050
Tb 0.084 0.877 0.050
Tb 0.916 0.123 0.550
Tb 0.416 0.877 0.550

4.
Compound: SmLuSi2Os
Source: OQMD via LeMat-Bulk
Functional: PBE
Structure: optimized geometry

Calculated values
polymorph energy (0 for the lowest one)	0.0368	eV/atom
total magnetization	0.0	μB/cell
symmetry	No. 12

abc: 5.846 5.846 10.016
angles: 117.67 117.67 42.33
Fractional coordinates of all 10 atoms:
Lu 0.178 0.178 0.111
Lu 0.822 0.822 0.889
Os 0.727 0.727 0.371
Os 0.273 0.273 0.629
Si 0.499 0.499 0.123
Si 0.350 0.350 0.438
Si 0.650 0.650 0.562
Si 0.501 0.501 0.877
Sm 0.985 0.985 0.317
Sm 0.015 0.015 0.683

5.
Compound: RbHoBi
Source: OQMD via LeMat-Bulk
Functional: PBE
Structure: optimized geometry

Calculated values
total magnetization	0.5	μB/cell
symmetry	No. 216

abc: 5.487 5.487 5.487
angles: 60.00 60.00 60.00
Site moments in Bohr magnetons follow the coordinates.
Fractional coordinates of all 3 atoms:
Bi 0.000 0.000 0.000  -0.02
Ho 0.250 0.250 0.250  0.29
Rb 0.500 0.500 0.500  0.02

6.
Compound: ScZnCuSb
Source: OQMD via LeMat-Bulk
Functional: PBE
Structure: optimized geometry

Calculated values
polymorph energy (0 for the lowest one)	0.0119	eV/atom
total magnetization	0.0	μB/cell
symmetry	No. 216

abc: 4.713 4.713 4.713
angles: 60.00 60.00 60.00
Fractional coordinates of all 4 atoms:
Cu 0.250 0.250 0.250
Sb 0.000 0.000 0.000
Sc 0.500 0.500 0.500
Zn 0.750 0.750 0.750

7.
Compound: InFeCoAg
Source: OQMD via LeMat-Bulk
Functional: PBE
Structure: optimized geometry

Calculated values
polymorph energy (0 for the lowest one)	0.0000	eV/atom
total magnetization	4.1	μB/cell
symmetry	No. 216

abc: 4.434 4.434 4.434
angles: 60.00 60.00 60.00
Fractional coordinates of all 4 atoms:
Ag 0.250 0.250 0.250
Co 0.750 0.750 0.750
Fe 0.500 0.500 0.500
In 0.000 0.000 0.000

8.
Compound: GaCuHgPd
Source: OQMD via LeMat-Bulk
Functional: PBE
Structure: optimized geometry

Calculated values
polymorph energy (0 for the lowest one)	0.0000	eV/atom
symmetry	No. 216

abc: 4.516 4.516 4.516
angles: 60.00 60.00 60.00
Fractional coordinates of all 4 atoms:
Cu 0.750 0.750 0.750
Ga 0.000 0.000 0.000
Hg 0.500 0.500 0.500
Pd 0.250 0.250 0.250

9.
Compound: Lu4GaNiC2
Source: OQMD via LeMat-Bulk
Functional: PBE
Structure: optimized geometry

Calculated values
total magnetization	0.1	μB/cell
symmetry	No. 187

abc: 3.498 3.498 14.116
angles: 90.00 90.00 120.00
Fractional coordinates of all 8 atoms:
C 0.333 0.667 0.267
C 0.333 0.667 0.733
Ga 0.000 0.000 0.000
Lu 0.667 0.333 0.175
Lu 0.000 0.000 0.361
Lu 0.000 0.000 0.639
Lu 0.667 0.333 0.825
Ni 0.667 0.333 0.500

10.
Compound: LiBeNiSb
Source: OQMD via LeMat-Bulk
Functional: PBE
Structure: optimized geometry

Calculated values
polymorph energy (0 for the lowest one)	0.0000	eV/atom
total magnetization	0.0	μB/cell
symmetry	No. 216

abc: 4.219 4.219 4.219
angles: 60.00 60.00 60.00
Fractional coordinates of all 4 atoms:
Be 0.750 0.750 0.750
Li 0.000 0.000 0.000
Ni 0.500 0.500 0.500
Sb 0.250 0.250 0.250

11.
Compound: CdPd3Au2
Source: OQMD via LeMat-Bulk
Functional: PBE
Structure: optimized geometry

Calculated values
DFT formation energy	-0.244	eV/atom
symmetry	No. 65

abc: 6.726 6.726 3.757
angles: 90.00 90.00 143.22
Fractional coordinates of all 6 atoms:
Au 0.667 0.333 0.500
Au 0.333 0.667 0.500
Cd 0.000 0.000 0.500
Pd 0.832 0.168 0.000
Pd 0.500 0.500 0.000
Pd 0.168 0.832 0.000

12.
Compound: TbNdH2I4
Source: OQMD via LeMat-Bulk
Functional: PBE
Structure: optimized geometry

Calculated values
total magnetization	0.0	μB/cell
symmetry	No. 187

abc: 4.074 4.074 16.553
angles: 90.00 90.00 120.00
Fractional coordinates of all 8 atoms:
H 0.333 0.667 0.000
H 0.667 0.333 0.500
I 0.667 0.333 0.132
I 0.333 0.667 0.373
I 0.333 0.667 0.627
I 0.667 0.333 0.868
Nd 0.000 0.000 0.000
Tb 0.000 0.000 0.500

13.
Compound: Tm3In3Pd2Pt
Source: OQMD via LeMat-Bulk
Functional: PBE
Structure: optimized geometry

Calculated values
total magnetization	0.0	μB/cell
symmetry	No. 189

abc: 7.654 7.654 3.811
angles: 90.00 90.00 120.00
Fractional coordinates of all 9 atoms:
In 0.263 0.000 0.000
In 0.000 0.263 0.000
In 0.737 0.737 0.000
Pd 0.667 0.333 0.000
Pd 0.333 0.667 0.000
Pt 0.000 0.000 0.500
Tm 0.596 0.000 0.500
Tm 0.404 0.404 0.500
Tm 0.000 0.596 0.500

14.
Compound: NdTePO
Source: OQMD via LeMat-Bulk
Functional: PBE
Structure: optimized geometry

Calculated values
polymorph energy (0 for the lowest one)	0.0355	eV/atom
total magnetization	0.0	μB/cell
symmetry	No. 129

abc: 4.126 4.126 10.236
angles: 90.00 90.00 90.00
Fractional coordinates of all 8 atoms:
Nd 0.250 0.250 0.112
Nd 0.750 0.750 0.888
O 0.750 0.250 0.000
O 0.250 0.750 0.000
P 0.750 0.750 0.272
P 0.250 0.250 0.728
Te 0.750 0.250 0.500
Te 0.250 0.750 0.500

15.
Compound: DyScB
Source: OQMD via LeMat-Bulk
Functional: PBE
Structure: optimized geometry

Calculated values
polymorph energy (0 for the lowest one)	1.1573	eV/atom
total magnetization	0.6	μB/cell
symmetry	No. 216

abc: 4.382 4.382 4.382
angles: 60.00 60.00 60.00
Site moments in Bohr magnetons follow the coordinates.
Fractional coordinates of all 3 atoms:
B 0.250 0.250 0.250  -0.03
Dy 0.000 0.000 0.000  0.24
Sc 0.750 0.750 0.750  0.34

16.
Compound: TlCdCoIr
Source: OQMD via LeMat-Bulk
Functional: PBE
Structure: optimized geometry

Calculated values
polymorph energy (0 for the lowest one)	0.0000	eV/atom
total magnetization	0.5	μB/cell
symmetry	No. 216

abc: 4.557 4.557 4.557
angles: 60.00 60.00 60.00
Site moments in Bohr magnetons follow the coordinates.
Fractional coordinates of all 4 atoms:
Cd 0.500 0.500 0.500  -0.02
Co 0.750 0.750 0.750  0.64
Ir 0.250 0.250 0.250  -0.05
Tl 0.000 0.000 0.000  -0.03

17.
Compound: Pm4Al4O11
Source: OQMD via LeMat-Bulk
Functional: PBE
Structure: optimized geometry

Calculated values
total magnetization	0.0	μB/cell
symmetry	No. 1

abc: 5.307 5.259 7.481
angles: 90.24 90.02 90.60
Fractional coordinates of all 19 atoms:
Al 0.999 0.497 0.000
Al 0.503 0.001 0.000
Al 0.501 0.999 0.500
Al 0.001 0.500 0.500
O 0.757 0.755 0.031
O 0.441 0.993 0.249
O 0.061 0.496 0.249
O 0.732 0.268 0.463
O 0.769 0.768 0.470
O 0.232 0.230 0.532
O 0.269 0.730 0.537
O 0.937 0.495 0.751
O 0.566 0.012 0.751
O 0.258 0.742 0.964
O 0.246 0.243 0.971
Pm 0.506 0.508 0.247
Pm 0.994 0.014 0.249
Pm 0.497 0.486 0.750
Pm 0.006 0.988 0.751

18.
Compound: Ba2Zn2SnGe
Source: OQMD via LeMat-Bulk
Functional: PBE
Structure: optimized geometry

Calculated values
symmetry	No. 187

abc: 4.617 4.617 9.868
angles: 90.00 90.00 120.00
Fractional coordinates of all 6 atoms:
Ba 0.333 0.667 0.241
Ba 0.333 0.667 0.759
Ge 0.000 0.000 0.000
Sn 0.667 0.333 0.500
Zn 0.667 0.333 0.000
Zn 0.000 0.000 0.500

19.
Compound: TePdPbO
Source: OQMD via LeMat-Bulk
Functional: PBE
Structure: optimized geometry

Calculated values
polymorph energy (0 for the lowest one)	0.2029	eV/atom
symmetry	No. 36

abc: 7.689 7.689 6.706
angles: 90.00 90.00 27.04
Fractional coordinates of all 8 atoms:
O 0.067 0.067 0.466
O 0.933 0.933 0.966
Pb 0.929 0.929 0.316
Pb 0.071 0.071 0.816
Pd 0.663 0.663 0.498
Pd 0.337 0.337 0.998
Te 0.720 0.720 0.112
Te 0.280 0.280 0.612

20.
Compound: GePt2O3
Source: OQMD via LeMat-Bulk
Functional: PBE
Structure: optimized geometry

Calculated values
total magnetization	0.0	μB/cell
symmetry	No. 6

abc: 4.607 3.226 5.284
angles: 90.00 101.30 90.00
Fractional coordinates of all 6 atoms:
Ge 0.670 0.000 0.113
O 0.236 0.500 0.372
O 0.766 0.500 0.634
O 0.329 0.000 0.876
Pt 0.000 0.500 0.000
Pt 0.498 0.000 0.505

21.
Compound: KNpW
Source: OQMD via LeMat-Bulk
Functional: PBE
Structure: optimized geometry

Calculated values
polymorph energy (0 for the lowest one)	0.0000	eV/atom
total magnetization	2.5	μB/cell
symmetry	No. 216

abc: 4.698 4.698 4.698
angles: 60.00 60.00 60.00
Site moments in Bohr magnetons follow the coordinates.
Fractional coordinates of all 3 atoms:
K 0.500 0.500 0.500  0.01
Np 0.250 0.250 0.250  3.27
W 0.000 0.000 0.000  -0.75

22.
Compound: Tb3Bi2N
Source: OQMD via LeMat-Bulk
Functional: PBE
Structure: optimized geometry

Calculated values
total magnetization	0.0	μB/cell
symmetry	No. 164

abc: 3.939 3.939 11.091
angles: 90.00 90.00 120.00
Fractional coordinates of all 6 atoms:
Bi 0.333 0.667 0.312
Bi 0.667 0.333 0.688
N 0.000 0.000 0.000
Tb 0.667 0.333 0.114
Tb 0.000 0.000 0.500
Tb 0.333 0.667 0.886

23.
Compound: Tl2FeAgCl6
Source: OQMD via LeMat-Bulk
Functional: PBE
Structure: optimized geometry

Calculated values
polymorph energy (0 for the lowest one)	0.0015	eV/atom
total magnetization	5.0	μB/cell
symmetry	No. 12

abc: 7.068 7.068 7.326
angles: 120.27 120.27 60.18
Site moments in Bohr magnetons follow the coordinates.
Fractional coordinates of all 10 atoms:
Ag 0.000 0.000 0.500  0.10
Cl 0.697 0.219 0.187  0.12
Cl 0.219 0.697 0.187  0.12
Cl 0.734 0.734 0.308  0.12
Cl 0.266 0.266 0.692  0.12
Cl 0.781 0.303 0.813  0.12
Cl 0.303 0.781 0.813  0.12
Fe 0.500 0.500 0.000  3.81
Tl 0.249 0.249 0.238  0.01
Tl 0.751 0.751 0.762  0.01

24.
Compound: RbSm2Cu3TeSe4
Source: OQMD via LeMat-Bulk
Functional: PBE
Structure: optimized geometry

Calculated values
total magnetization	0.0	μB/cell
symmetry	No. 63

abc: 7.615 7.615 17.768
angles: 90.00 90.00 147.71
Fractional coordinates of all 22 atoms:
Cu 0.086 0.914 0.029
Cu 0.845 0.155 0.250
Cu 0.086 0.914 0.471
Cu 0.914 0.086 0.529
Cu 0.155 0.845 0.750
Cu 0.914 0.086 0.971
Rb 0.550 0.450 0.250
Rb 0.450 0.550 0.750
Se 0.663 0.337 0.072
Se 0.943 0.057 0.113
Se 0.943 0.057 0.387
Se 0.663 0.337 0.428
Se 0.337 0.663 0.572
Se 0.057 0.943 0.613
Se 0.057 0.943 0.887
Se 0.337 0.663 0.928
Sm 0.311 0.689 0.087
Sm 0.311 0.689 0.413
Sm 0.689 0.311 0.587
Sm 0.689 0.311 0.913
Te 0.249 0.751 0.250
Te 0.751 0.249 0.750

25.
Compound: PrCuB
Source: OQMD via LeMat-Bulk
Functional: PBE
Structure: optimized geometry

Calculated values
polymorph energy (0 for the lowest one)	0.0000	eV/atom
total magnetization	0.0	μB/cell
symmetry	No. 216

abc: 4.270 4.270 4.270
angles: 60.00 60.00 60.00
Fractional coordinates of all 3 atoms:
B 0.000 0.000 0.000
Cu 0.250 0.250 0.250
Pr 0.750 0.750 0.750

| no. | electronic total energy (eV per cell) |
| --- | --- |
| 1 | -94.62 |
| 2 | -16.08 |
| 3 | -124.50 |
| 4 | -70.06 |
| 5 | -9.08 |
| 6 | -15.82 |
| 7 | -19.85 |
| 8 | -12.57 |
| 9 | -47.96 |
| 10 | -15.76 |
| 11 | -24.42 |
| 12 | -32.01 |
| 13 | -45.75 |
| 14 | -45.98 |
| 15 | -14.18 |
| 16 | -17.46 |
| 17 | -147.55 |
| 18 | -18.00 |
| 19 | -37.17 |
| 20 | -35.19 |
| 21 | -19.42 |
| 22 | -35.45 |
| 23 | -34.89 |
| 24 | -100.29 |
| 25 | -14.39 |